[1]
This record from the Alexandria database describes a relaxed BiHClO2 crystal. The functional is PBE-GGA.

```
10
Lattice="3.674 0.000 0.000 0.000 5.167 0.958 0.000 0.723 10.117" Properties=species:S:1:pos:R:3 pbc="T T T"
O 2.755 2.044 6.896
Cl 2.755 1.416 1.432
Cl 0.918 4.473 9.643
H 0.918 2.832 4.103
O 2.755 4.716 6.748
O 0.918 3.845 4.179
O 0.918 1.174 4.326
Bi 2.755 5.179 4.486
H 2.755 3.058 6.971
Bi 0.918 0.711 6.589
```

Calculated values
Total energy ... -4.655 eV/atom
Magnetic moment ... 0.0 μB/f.u.
SG ... P2_1/m (11)

[2]
This record from the Alexandria database describes a relaxed ZnCdRu2 crystal. The functional is PBE-GGA.

```
4
Lattice="-3.268 3.697 -0.084 0.596 -1.816 4.550 2.061 1.832 0.461" Properties=species:S:1:pos:R:3 pbc="T T T"
Cd 1.328 0.008 2.506
Zn -0.604 2.764 0.189
Ru -1.336 0.940 2.233
Ru 0.000 0.000 0.000
```

Calculated values
Total energy ... -4.798 eV/atom
ΔE_f ... 387 meV per atom
Magnetic moment ... 2.7 μB/f.u.
SG ... Cmmm (65)

[3]
This record from the Alexandria database describes a relaxed TlCo2Re crystal. The functional is PBE-GGA.

```
8
Lattice="6.869 0.000 0.000 0.000 6.869 0.000 3.434 3.434 2.765" Properties=species:S:1:pos:R:3 pbc="T T T"
Re 3.434 6.869 1.382
Co 5.152 5.459 2.074
Re 3.434 3.434 0.000
Co 2.025 5.152 0.691
Co 8.586 8.278 2.074
Tl 6.869 3.434 1.382
Tl 0.000 0.000 0.000
Co 4.844 1.717 0.691
```

Calculated values
Total energy ... -6.314 eV/atom
ΔE_f ... 943 meV per atom
Magnetic moment ... 1.7 μB/f.u.
Energy above the lowest structure with this stoichiometry ... 214.8 kJ/mol of formula units
SG ... I-42d (122)

[4]
This record from the Alexandria database describes a relaxed SrReW2 crystal. The functional is PBE-GGA.

```
4
Lattice="5.954 0.009 0.002 2.923 5.186 -0.002 -3.669 -3.913 2.584" Properties=species:S:1:pos:R:3 pbc="T T T"
Re 3.362 -0.653 1.293
W 4.799 2.809 0.000
Sr 1.846 1.936 1.291
W 8.516 4.985 0.000
```

Calculated values
Total energy ... -8.990 eV/atom
ΔE_f ... 1019 meV per atom
Magnetic moment ... 0.0 μB/f.u.
Energy above the lowest structure with this stoichiometry ... 104.6 kJ/mol of formula units
SG ... Immm (71)

Among the records above, which one has the highest magnetic moment? ZnCdRu2

Which value of total energy does entry 3 give? -6.314 eV/atom